A PBEsol-optimized structure of Li3HI. Source: the Alexandria database, functional SCAN.

For the electronic total energy, the calculation gives -49.25 eV for the cell shown. For the density of states at the Fermi level, the calculation gives 2.05 states/eV/f.u.

The space group is Pm-3m (No. 221) and the conventional cell measures 4.4427, 4.4427 and 4.4427 Å, with angles of 90.00, 90.00 and 90.00 degrees. The distinct sites, in fractional coordinates, are Li at (0.0000, 0.0000, 0.5000), H at (0.0000, 0.0000, 0.0000) and I at (0.5000, 0.5000, 0.5000).